# 1
12
Lattice="4.920 -5.606 0.000 4.920 5.606 0.000 -1.435 0.000 6.331" Properties=species:S:1:pos:R:3 comment="PmEr5Tl6, relaxed, DFT PBE" e_tot_ev_per_fu=-44.67 magnetic_moment_mub_per_atom=0.000 ef_mev_per_atom=-242 n_ef_per_ev_atom=0.92 pbc="T T T"
Pm 0.000 0.000 0.000
Er 4.203 3.738 3.165
Er 4.920 1.842 0.000
Er 4.203 0.000 3.165
Er 4.920 -1.842 0.000
Er 4.203 -3.738 3.165
Tl 2.118 1.909 1.609
Tl 1.412 0.000 4.695
Tl 2.118 -1.909 1.609
Tl 6.287 1.909 4.722
Tl 6.993 0.000 1.636
Tl 6.287 -1.909 4.722

# 2
16
Lattice="3.652 2.109 6.011 -3.652 2.109 6.011 0.000 -4.217 6.011" Properties=species:S:1:pos:R:3 comment="Sr5Pa3N8, relaxed, DFT PBE" e_tot_ev_per_fu=-123.82 magnetic_moment_mub_per_atom=0.000 formation_energy_uncorrected_mev_per_atom=-1270 n_ef_per_ev_atom=0.30 pbc="T T T"
Sr 0.000 0.000 0.000
Sr -1.826 -1.054 6.011
Sr -1.826 1.054 12.022
Sr 0.000 2.109 6.011
Sr 0.000 0.000 9.017
Pa -3.652 0.000 9.017
Pa -1.826 1.054 3.006
Pa 1.826 1.054 3.006
N -2.014 -1.163 10.209
N 0.000 0.000 4.219
N 0.000 -2.326 7.824
N -2.014 1.163 7.824
N 2.014 -1.163 10.209
N 0.000 2.326 10.209
N 0.000 0.000 13.815
N 2.014 1.163 7.824

# 3
4
Lattice="3.271 0.000 0.000 0.000 4.672 0.000 -1.497 0.000 5.484" Properties=species:S:1:pos:R:3 comment="Tl2TcAg, relaxed, DFT PBE" e_tot_ev_per_fu=-15.57 magnetic_moment_mub_per_atom=0.286 ef_mev_per_atom=594 n_ef_per_ev_atom=0.65 pbc="T T T"
Tl 0.000 0.000 0.000
Tl 0.006 2.336 3.218
Tc 1.643 0.000 2.579
Ag 1.641 2.336 0.766

# 4
4
Lattice="0.000 3.092 3.092 3.092 0.000 3.092 3.092 3.092 0.000" Properties=species:S:1:pos:R:3 comment="Re2GePd, relaxed, DFT PBE" e_tot_ev_per_fu=-33.33 magnetic_moment_mub_per_atom=0.000 ef_mev_per_atom=344 n_ef_per_ev_atom=0.65 pbc="T T T"
Re 1.546 1.546 1.546
Re 4.638 4.638 4.638
Ge 0.000 0.000 0.000
Pd 3.092 3.092 3.092

# 5
4
Lattice="1.412 0.815 9.370 -1.412 0.815 9.370 0.000 -1.630 9.370" Properties=species:S:1:pos:R:3 comment="RhAu, relaxed, DFT PBE" e_tot_ev_per_fu=-10.36 magnetic_moment_mub_per_atom=0.136 ef_mev_per_atom=135 n_ef_per_ev_atom=1.20 pbc="T T T"
Rh 0.000 0.000 3.638
Rh 0.000 0.000 24.471
Au 0.000 0.000 10.641
Au 0.000 0.000 17.467

# 6
4
Lattice="1.744 1.007 11.085 -1.744 1.007 11.085 0.000 -2.013 11.085" Properties=species:S:1:pos:R:3 comment="NdSmSc2, relaxed, DFT PBE" e_tot_ev_per_fu=-21.84 magnetic_moment_mub_per_atom=0.000 ef_mev_per_atom=77 n_ef_per_ev_atom=1.63 pbc="T T T"
Nd 0.000 0.000 0.000
Sm 0.000 0.000 5.526
Sc 0.000 0.000 13.851
Sc 0.000 0.000 19.394